The following is a DFT calculation (PBE) of a relaxed Sr3LiPd crystal.

Cell lengths 11.2391, 11.2391, 11.2391 Å; angles 60.00, 60.00, 60.00 degrees
With the nearest neighbours (Å) after each atom.
Positions (direct):
Sr  0.0696  0.0696  0.6804  2 Pd 3.02
Sr  0.0696  0.6804  0.0696  2 Pd 3.02
Sr  0.0696  0.6804  0.6804  2 Pd 3.02
Sr  0.3196  0.3196  0.9304  2 Pd 3.02
Sr  0.3196  0.9304  0.3196  2 Pd 3.02
Sr  0.3196  0.9304  0.9304  2 Pd 3.02
Sr  0.6804  0.0696  0.0696  2 Pd 3.02
Sr  0.6804  0.0696  0.6804  2 Pd 3.02
Sr  0.6804  0.6804  0.0696  2 Pd 3.02
Sr  0.9304  0.3196  0.3196  2 Pd 3.02
Sr  0.9304  0.3196  0.9304  2 Pd 3.02
Sr  0.9304  0.9304  0.3196  2 Pd 3.02
Li  0.0000  0.5000  0.5000  6 Sr 4.02
Li  0.5000  0.0000  0.5000  6 Sr 4.02
Li  0.5000  0.5000  0.0000  6 Sr 4.02
Li  0.5000  0.5000  0.5000  6 Sr 4.02
Pd  0.0000  0.0000  0.0000  6 Sr 3.02
Pd  0.0000  0.0000  0.5000  6 Sr 3.02
Pd  0.0000  0.5000  0.0000  6 Sr 3.02
Pd  0.5000  0.0000  0.0000  6 Sr 3.02

DFT formation energy   -0.10 eV/atom
Volume   1003.9 Å³/cell
ΔE to the lowest computed polymorph   180 meV/atom
M_tot   0.000 μB/atom
Energy   -12.63 eV/f.u.
Symmetry   Fd-3m, No. 227


The following is a DFT calculation (PBE) of a relaxed CaPm2DySb4 crystal.

Cell lengths 7.7328, 4.4584, 7.7918 Å; angles 90.00, 109.31, 90.00 degrees
With the nearest neighbours (Å) after each atom.
Positions (direct):
Ca  0.0000  0.0000  0.0000  6 Sb 3.17-3.18
Pm  0.5000  0.0000  0.5000  6 Sb 3.15-3.16
Pm  0.5000  0.5000  0.0000  6 Sb 3.20
Dy  0.0000  0.5000  0.5000  6 Sb 3.13
Sb  0.2455  0.0000  0.7447  2 Dy 3.13, 3 Pm 3.16-3.20, 1 Ca 3.17
Sb  0.2492  0.5000  0.2544  1 Dy 3.13, 3 Pm 3.15-3.20, 2 Ca 3.18
Sb  0.7508  0.5000  0.7456  1 Dy 3.13, 3 Pm 3.15-3.20, 2 Ca 3.18
Sb  0.7545  0.0000  0.2553  2 Dy 3.13, 3 Pm 3.16-3.20, 1 Ca 3.17

Volume   253.5 Å³/cell
M_tot   0.000 μB/atom
Energy   -41.03 eV/f.u.
Formation energy without anion corrections   -1.0544 eV per atom
Symmetry   P2/m, No. 10


The following is a DFT calculation (PBE) of a relaxed PuHN2 crystal.

Cell lengths 3.5239, 3.5239, 13.6192 Å; angles 90.00, 90.00, 120.00 degrees
With the nearest neighbours (Å) after each atom.
Positions (direct):
Pu  0.0000  0.0000  0.0000  6 N 2.25
Pu  0.3333  0.6667  0.6667  6 N 2.25
Pu  0.6667  0.3333  0.3333  6 N 2.25
H  0.0000  0.0000  0.5000  2 N 1.31
H  0.3333  0.6667  0.1667  2 N 1.31
H  0.6667  0.3333  0.8333  2 N 1.31
N  0.0000  0.0000  0.4042  1 H 1.31
N  0.0000  0.0000  0.5958  1 H 1.31
N  0.3333  0.6667  0.0708  1 H 1.31
N  0.3333  0.6667  0.2625  1 H 1.31
N  0.6667  0.3333  0.7375  1 H 1.31
N  0.6667  0.3333  0.9292  1 H 1.31

Volume   146.5 Å³/cell
M_tot   0.750 μB/atom
Energy   -36.47 eV/f.u.
Symmetry   R-3m, No. 166


The following is a DFT calculation (PBE) of a relaxed RhSeS2N crystal.

Cell lengths 4.8583, 4.8583, 3.6447 Å; angles 90.00, 90.00, 90.00 degrees
With the nearest neighbours (Å) after each atom.
Positions (direct):
Rh  0.0000  0.0000  0.0000  2 N 1.82
Se  0.5000  0.5000  0.5000  8 S 3.04
S  0.0000  0.5000  0.0000  2 Rh 2.43
S  0.5000  0.0000  0.0000  2 Rh 2.43
N  0.0000  0.0000  0.5000  2 Rh 1.82

Volume   86.0 Å³/cell
ΔE to the lowest computed polymorph   0 meV/atom
M_tot   0.000 μB/atom
Energy   -23.81 eV/f.u.
Formation energy without anion corrections   0.7214 eV per atom
Symmetry   P4/mmm, No. 123


The following is a DFT calculation (PBE) of a relaxed ReSbC2 crystal.

Cell lengths 5.0068, 5.0068, 10.0955 Å; angles 90.00, 90.00, 90.00 degrees
With the nearest neighbours (Å) after each atom.
Positions (direct):
Re  0.0000  0.0000  0.0000  4 C 1.98
Re  0.0000  0.5000  0.2500  4 C 1.98
Re  0.5000  0.0000  0.7500  4 C 1.98
Re  0.5000  0.5000  0.5000  4 C 1.98
Sb  0.0000  0.0000  0.5000  4 C 2.42
Sb  0.0000  0.5000  0.7500  4 C 2.42
Sb  0.5000  0.0000  0.2500  4 C 2.42
Sb  0.5000  0.5000  0.0000  4 C 2.42
C  0.1721  0.2500  0.1250  2 Re 1.98
C  0.2500  0.6721  0.3750  2 Re 1.98
C  0.2500  0.8279  0.8750  2 Re 1.98
C  0.3279  0.2500  0.6250  2 Re 1.98
C  0.6721  0.7500  0.6250  2 Re 1.98
C  0.7500  0.1721  0.8750  2 Re 1.98
C  0.7500  0.3279  0.3750  2 Re 1.98
C  0.8279  0.7500  0.1250  2 Re 1.98

Volume   253.1 Å³/cell
M_tot   0.000 μB/atom
Energy   -30.83 eV/f.u.
Formation energy without anion corrections   1.0467 eV per atom
Symmetry   I-42d, No. 122


The following is a DFT calculation (PBE) of a relaxed Ba3Ag2TeS6 crystal.

Cell lengths 7.3980, 7.3980, 7.7557 Å; angles 90.00, 90.00, 120.00 degrees
With the nearest neighbours (Å) after each atom.
Positions (direct):
Ba  0.0000  0.0000  0.0000  6 S 3.16
Ba  0.3333  0.6667  0.6084  3 S 3.20
Ba  0.6667  0.3333  0.3916  3 S 3.20
Ag  0.3333  0.6667  0.1323  3 S 2.50
Ag  0.6667  0.3333  0.8677  3 S 2.50
Te  0.0000  0.0000  0.5000  6 S 2.64
S  0.1667  0.3333  0.3009  1 Ag 2.50, 1 Te 2.64
S  0.1667  0.8333  0.3009  1 Ag 2.50, 1 Te 2.64
S  0.3333  0.1667  0.6991  1 Ag 2.50, 1 Te 2.64
S  0.6667  0.8333  0.3009  1 Ag 2.50, 1 Te 2.64
S  0.8333  0.1667  0.6991  1 Ag 2.50, 1 Te 2.64
S  0.8333  0.6667  0.6991  1 Ag 2.50, 1 Te 2.64

Volume   367.6 Å³/cell
M_tot   0.000 μB/atom
Energy   -49.63 eV/f.u.
Formation energy without anion corrections   -0.8545 eV per atom
Symmetry   P-3m1, No. 164


The following is a DFT calculation (PBE) of a relaxed Zr2HgB crystal.

Cell lengths 7.0136, 7.0136, 6.4308 Å; angles 90.00, 90.00, 90.00 degrees
With the nearest neighbours (Å) after each atom.
Positions (direct):
Zr  0.1872  0.7500  0.1250  2 B 2.33
Zr  0.2500  0.1872  0.8750  2 B 2.33
Zr  0.2500  0.3128  0.3750  2 B 2.33
Zr  0.3128  0.7500  0.6250  2 B 2.33
Zr  0.6872  0.2500  0.6250  2 B 2.33
Zr  0.7500  0.6872  0.3750  2 B 2.33
Zr  0.7500  0.8128  0.8750  2 B 2.33
Zr  0.8128  0.2500  0.1250  2 B 2.33
Hg  0.0000  0.0000  0.5000  8 Zr 2.92-3.26, 2 B 3.22
Hg  0.0000  0.5000  0.7500  8 Zr 2.92-3.26, 2 B 3.22
Hg  0.5000  0.0000  0.2500  8 Zr 2.92-3.26, 2 B 3.22
Hg  0.5000  0.5000  0.0000  8 Zr 2.92-3.26, 2 B 3.22
B  0.0000  0.0000  0.0000  4 Zr 2.33
B  0.0000  0.5000  0.2500  4 Zr 2.33
B  0.5000  0.0000  0.7500  4 Zr 2.33
B  0.5000  0.5000  0.5000  4 Zr 2.33

DFT formation energy   0.09 eV/atom
Volume   316.3 Å³/cell
ΔE to the lowest computed polymorph   0 meV/atom
M_tot   0.000 μB/atom
Energy   -23.71 eV/f.u.
Symmetry   I-42d, No. 122


The following is a DFT calculation (PBE) of a relaxed Y2WAu crystal.

Cell lengths 4.3837, 4.3837, 19.8277 Å; angles 90.00, 90.00, 90.00 degrees
With the nearest neighbours (Å) after each atom.
Positions (direct):
Y  0.2461  0.2500  0.1250  2 W 2.92, 2 Au 2.93, 4 Y 3.08-3.12
Y  0.2500  0.7461  0.3750  2 W 2.92, 2 Au 2.93, 4 Y 3.08-3.12
Y  0.2500  0.7539  0.8750  2 W 2.92, 2 Au 2.93, 4 Y 3.08-3.12
Y  0.2539  0.2500  0.6250  2 W 2.92, 2 Au 2.93, 4 Y 3.08-3.12
Y  0.7461  0.7500  0.6250  2 W 2.92, 2 Au 2.93, 4 Y 3.08-3.12
Y  0.7500  0.2461  0.8750  2 W 2.92, 2 Au 2.93, 4 Y 3.08-3.12
Y  0.7500  0.2539  0.3750  2 W 2.92, 2 Au 2.93, 4 Y 3.08-3.12
Y  0.7539  0.7500  0.1250  2 W 2.92, 2 Au 2.93, 4 Y 3.08-3.12
W  0.0000  0.0000  0.0000  4 Y 2.92, 4 Au 3.10
W  0.0000  0.5000  0.2500  4 Y 2.92, 4 Au 3.10
W  0.5000  0.0000  0.7500  4 Y 2.92, 4 Au 3.10
W  0.5000  0.5000  0.5000  4 Y 2.92, 4 Au 3.10
Au  0.0000  0.0000  0.5000  4 Y 2.93, 4 W 3.10
Au  0.0000  0.5000  0.7500  4 Y 2.93, 4 W 3.10
Au  0.5000  0.0000  0.2500  4 Y 2.93, 4 W 3.10
Au  0.5000  0.5000  0.0000  4 Y 2.93, 4 W 3.10

DFT formation energy   0.77 eV/atom
Volume   381.0 Å³/cell
ΔE to the lowest computed polymorph   803 meV/atom
M_tot   0.000 μB/atom
Energy   -26.09 eV/f.u.
Symmetry   I-42d, No. 122


The following is a DFT calculation (PBE) of a relaxed SiPbW2 crystal.

Cell lengths 6.4871, 6.4871, 6.4871 Å; angles 90.00, 90.00, 90.00 degrees
With the nearest neighbours (Å) after each atom.
Positions (direct):
Si  0.0000  0.0000  0.0000  8 W 2.81
Si  0.0000  0.5000  0.5000  8 W 2.81
Si  0.5000  0.0000  0.5000  8 W 2.81
Si  0.5000  0.5000  0.0000  8 W 2.81
Pb  0.0000  0.0000  0.5000  8 W 2.81
Pb  0.0000  0.5000  0.0000  8 W 2.81
Pb  0.5000  0.0000  0.0000  8 W 2.81
Pb  0.5000  0.5000  0.5000  8 W 2.81
W  0.2500  0.2500  0.2500  4 Pb 2.81, 4 Si 2.81
W  0.2500  0.2500  0.7500  4 Pb 2.81, 4 Si 2.81
W  0.2500  0.7500  0.2500  4 Pb 2.81, 4 Si 2.81
W  0.2500  0.7500  0.7500  4 Pb 2.81, 4 Si 2.81
W  0.7500  0.2500  0.2500  4 Pb 2.81, 4 Si 2.81
W  0.7500  0.2500  0.7500  4 Pb 2.81, 4 Si 2.81
W  0.7500  0.7500  0.2500  4 Pb 2.81, 4 Si 2.81
W  0.7500  0.7500  0.7500  4 Pb 2.81, 4 Si 2.81

Volume   273.0 Å³/cell
ΔE to the lowest computed polymorph   559 meV/atom
M_tot   0.000 μB/atom
Energy   -31.41 eV/f.u.
Formation energy without anion corrections   0.9075 eV per atom
Symmetry   Fm-3m, No. 225


The following is a DFT calculation (PBE) of a relaxed PdCl2F crystal.

Cell lengths 6.1431, 5.4562, 9.7591 Å; angles 90.00, 90.00, 90.00 degrees
With the nearest neighbours (Å) after each atom.
Positions (direct):
Pd  0.2500  0.0000  0.0963  2 F 2.14, 2 Cl 2.35
Pd  0.2500  0.5000  0.4037  2 F 2.14, 2 Cl 2.35
Pd  0.7500  0.0000  0.9037  2 F 2.14, 2 Cl 2.35
Pd  0.7500  0.5000  0.5963  2 F 2.14, 2 Cl 2.35
Cl  0.0715  0.2330  0.9159  2 Pd 2.35-2.43
Cl  0.0715  0.2670  0.5841  2 Pd 2.35-2.43
Cl  0.4285  0.7330  0.5841  2 Pd 2.35-2.43
Cl  0.4285  0.7670  0.9159  2 Pd 2.35-2.43
Cl  0.5715  0.2330  0.0841  2 Pd 2.35-2.43
Cl  0.5715  0.2670  0.4159  2 Pd 2.35-2.43
Cl  0.9285  0.7330  0.4159  2 Pd 2.35-2.43
Cl  0.9285  0.7670  0.0841  2 Pd 2.35-2.43
F  0.1378  0.2500  0.2500  2 Pd 2.14
F  0.3622  0.7500  0.2500  2 Pd 2.14
F  0.6378  0.2500  0.7500  2 Pd 2.14
F  0.8622  0.7500  0.7500  2 Pd 2.14

Volume   327.1 Å³/cell
ΔE to the lowest computed polymorph   69 meV/atom
M_tot   0.000 μB/atom
Energy   -13.26 eV/f.u.
Formation energy without anion corrections   -0.6258 eV per atom
Symmetry   Pnna, No. 52